Record 1
Density functional theory data (GGA-PBE) for an optimized crystal structure of Sm2PuZn.

Results
offset from the most stable computed form = 0 meV per atom
energy relative to the elements = -0.054 eV per atom
DFT total energy = -6.315 eV per atom

Cell lengths 3.5918, 3.5918, 8.5535 Å; angles 90.00, 90.00, 90.00 degrees
Each line ends with the local moment (μB).
Fractional coordinates of all 4 atoms:
1 Pu 0.5000 0.5000 0.5000  5.63
2 Sm 0.0000 0.0000 0.2122  0.10
3 Zn 0.5000 0.5000 0.0000  -0.01
4 Sm 0.0000 0.0000 0.7878  0.10

Record 2
Density functional theory data (GGA-PBE) for an optimized crystal structure of Sm2PuZn.

Results
offset from the most stable computed form = 291 meV per atom
energy relative to the elements = 0.237 eV per atom
DFT total energy = -6.024 eV per atom

Cell lengths 3.4378, 3.4378, 11.6001 Å; angles 81.48, 81.48, 60.00 degrees
Each line ends with the local moment (μB).
Fractional coordinates of all 4 atoms:
1 Sm 0.9017 0.9017 0.2950  0.04
2 Zn 0.5000 0.5000 0.5000  0.01
3 Pu 0.0000 0.0000 0.0000  5.77
4 Sm 0.0983 0.0983 0.7050  0.04

Record 3
Density functional theory data (GGA-PBE) for an optimized crystal structure of Sm2PuZn6.

Results
energy relative to the elements = -0.275 eV per atom
DFT total energy = -3.765 eV per atom

Cell lengths 3.3570, 7.9848, 7.9848 Å; angles 120.00, 90.00, 90.00 degrees
Each line ends with the local moment (μB).
Fractional coordinates of all 9 atoms:
1 Zn 0.5000 0.3325 0.3325  0.00
2 Zn 0.5000 0.6675 0.6675  0.00
3 Zn 0.5000 0.3325 0.0000  0.00
4 Pu 0.0000 0.0000 0.0000  5.39
5 Sm 0.0000 0.6667 0.3333  0.06
6 Zn 0.5000 0.0000 0.3325  0.00
7 Zn 0.5000 0.0000 0.6675  0.00
8 Sm 0.0000 0.3333 0.6667  0.06
9 Zn 0.5000 0.6675 0.0000  0.00